Entry 1:
Below is a geometry-optimized Sr2PtO3 structure, with properties calculated at the PBE level.

## Properties
E_form (uncorrected) ... -1.824 eV/atom
Total moment ... 0.000 μB/f.u.
Total DFT energy (no corrections) ... -281.77 eV per cell
Crystal system ... monoclinic

a = 5.1957 Å, b = 11.2048 Å, c = 13.6022 Å
α = 90.00°, β = 97.69°, γ = 90.00°
Space group C2/c (No. 15)
Asymmetric unit:
Sr: 0.2053 0.2015 0.3630 (multiplicity 8)
Sr: 0.2206 0.1023 0.9375 (multiplicity 8)
Pt: 0.1555 0.4873 0.8330 (multiplicity 8)
O: 0.0000 0.0427 0.2500 (multiplicity 4)
O: 0.0000 0.3695 0.2500 (multiplicity 4)
O: 0.2196 0.3169 0.8933 (multiplicity 8)
O: 0.2444 0.4042 0.4681 (multiplicity 8)

Entry 2:
Below is a geometry-optimized SrPtO structure, with properties calculated at the PBE level.

## Properties
E_form (uncorrected) ... -1.510 eV/atom
Total moment ... 0.000 μB/f.u.
Total DFT energy (no corrections) ... -103.27 eV per cell
Crystal system ... trigonal

a = 4.4303 Å, b = 4.4303 Å, c = 20.2961 Å
α = 90.00°, β = 90.00°, γ = 120.00°
Space group R3m (No. 160, hexagonal axes)
Asymmetric unit:
Sr: 0.0000 0.0000 0.0000 (multiplicity 3)
Sr: 0.0000 0.0000 0.2031 (multiplicity 3)
Pt: 0.0000 0.0000 0.4360 (multiplicity 3)
Pt: 0.0000 0.0000 0.7702 (multiplicity 3)
O: 0.0000 0.0000 0.6667 (multiplicity 3)
O: 0.0000 0.0000 0.8761 (multiplicity 3)

Entry 3:
Below is a geometry-optimized Sr2PtO6 structure, with properties calculated at the PBE level.

## Properties
E_form (uncorrected) ... -1.102 eV/atom
Total moment ... 1.951 μB/f.u.
Total DFT energy (no corrections) ... -98.14 eV per cell
Crystal system ... monoclinic

a = 11.8205 Å, b = 6.0010 Å, c = 3.6629 Å
α = 90.00°, β = 104.51°, γ = 90.00°
Space group C2/m (No. 12)
Asymmetric unit:
Sr: 0.1702 0.0000 0.1721 (multiplicity 4)
Pt: 0.0000 0.5000 0.5000 (multiplicity 2)
O: 0.0000 0.3084 0.0000 (multiplicity 4)
O: 0.1370 0.2821 0.6457 (multiplicity 8)

Entry 4:
Below is a geometry-optimized Sr2Pt2O7 structure, with properties calculated at the PBE level.

## Properties
E_form (uncorrected) ... -1.348 eV/atom
Total moment ... 0.963 μB/f.u.
Total DFT energy (no corrections) ... -519.82 eV per cell
Crystal system ... cubic

a = 10.6152 Å, b = 10.6152 Å, c = 10.6152 Å
α = 90.00°, β = 90.00°, γ = 90.00°
Space group Fd-3m (No. 227, origin choice 2)
Asymmetric unit:
Sr: 0.0000 0.0000 0.0000 (multiplicity 16)
Pt: 0.0000 0.0000 0.5000 (multiplicity 16)
O: 0.0735 0.3750 0.8750 (multiplicity 48)
O: 0.1250 0.1250 0.1250 (multiplicity 8)

Entry 5:
Below is a geometry-optimized SrPtO structure, with properties calculated at the PBE level.

## Properties
E_form (uncorrected) ... -1.466 eV/atom
Total moment ... 0.000 μB/f.u.
Total DFT energy (no corrections) ... -34.16 eV per cell
Crystal system ... monoclinic

a = 3.8735 Å, b = 3.5647 Å, c = 8.4226 Å
α = 90.00°, β = 103.22°, γ = 90.00°
Space group P2_1/m (No. 11)
Asymmetric unit:
Sr: 0.1650 0.2500 0.3291 (multiplicity 2)
Pt: 0.4432 0.2500 0.8874 (multiplicity 2)
O: 0.3169 0.2500 0.6349 (multiplicity 2)

Entry 6:
Below is a geometry-optimized Sr4Pt2O structure, with properties calculated at the PBE level.

## Properties
E_form (uncorrected) ... -1.206 eV/atom
Total moment ... 0.000 μB/f.u.
Total DFT energy (no corrections) ... -64.41 eV per cell
Crystal system ... tetragonal

a = 4.8829 Å, b = 4.8829 Å, c = 16.0213 Å
α = 90.00°, β = 90.00°, γ = 90.00°
Space group I4/mmm (No. 139)
Asymmetric unit:
Sr: 0.0000 0.0000 0.1753 (multiplicity 4)
Sr: 0.0000 0.5000 0.0000 (multiplicity 4)
Pt: 0.0000 0.0000 0.3673 (multiplicity 4)
O: 0.0000 0.0000 0.0000 (multiplicity 2)

Entry 7:
Below is a geometry-optimized SrPtO2 structure, with properties calculated at the PBE level.

## Properties
E_form (uncorrected) ... -1.137 eV/atom
Total moment ... 0.000 μB/f.u.
Total DFT energy (no corrections) ... -88.75 eV per cell
Crystal system ... tetragonal

a = 4.6001 Å, b = 4.6001 Å, c = 12.7552 Å
α = 90.00°, β = 90.00°, γ = 90.00°
Space group I-42d (No. 122)
Asymmetric unit:
Sr: 0.0000 0.0000 0.0000 (multiplicity 4)
Pt: 0.0000 0.0000 0.5000 (multiplicity 4)
O: 0.1696 0.2500 0.6250 (multiplicity 8)

Entry 8:
Below is a geometry-optimized SrPtO structure, with properties calculated at the PBE level.

## Properties
E_form (uncorrected) ... -1.511 eV/atom
Total moment ... 0.000 μB/f.u.
Total DFT energy (no corrections) ... -68.85 eV per cell
Crystal system ... monoclinic

a = 4.9820 Å, b = 4.9819 Å, c = 9.0716 Å
α = 90.00°, β = 90.24°, γ = 90.00°
Space group Cm (No. 8)
Asymmetric unit:
Sr: 0.0000 0.0000 0.0000 (multiplicity 2)
Sr: 0.0029 0.5000 0.3385 (multiplicity 2)
Pt: 0.4975 0.5000 0.6385 (multiplicity 2)
Pt: 0.4982 0.0000 0.7243 (multiplicity 2)
O: 0.9996 0.5000 0.9610 (multiplicity 2)
O: 0.0027 0.0000 0.2669 (multiplicity 2)

Entry 9:
Below is a geometry-optimized SrPtO2 structure, with properties calculated at the PBE level.

## Properties
E_form (uncorrected) ... -0.745 eV/atom
Total moment ... 2.000 μB/f.u.
Total DFT energy (no corrections) ... -82.48 eV per cell
Crystal system ... cubic

a = 6.0687 Å, b = 6.0687 Å, c = 6.0687 Å
α = 90.00°, β = 90.00°, γ = 90.00°
Space group Fm-3m (No. 225)
Asymmetric unit:
Sr: 0.0000 0.0000 0.0000 (multiplicity 4)
Pt: 0.0000 0.0000 0.5000 (multiplicity 4)
O: 0.2500 0.2500 0.2500 (multiplicity 8)

Entry 10:
Below is a geometry-optimized SrPtO structure, with properties calculated at the PBE level.

## Properties
E_form (uncorrected) ... -0.804 eV/atom
Total moment ... 0.000 μB/f.u.
Total DFT energy (no corrections) ... -30.19 eV per cell
Crystal system ... hexagonal

a = 4.0318 Å, b = 4.0318 Å, c = 7.9063 Å
α = 90.00°, β = 90.00°, γ = 120.00°
Space group P6_3/mmc (No. 194)
Asymmetric unit:
Sr: 0.0000 0.0000 0.0000 (multiplicity 2)
Pt: 0.3333 0.6667 0.2500 (multiplicity 2)
O: 0.3333 0.6667 0.7500 (multiplicity 2)

Entry 11:
Below is a geometry-optimized Sr5PtO8 structure, with properties calculated at the PBE level.

## Properties
E_form (uncorrected) ... -1.923 eV/atom
Total moment ... 2.202 μB/f.u.
Total DFT energy (no corrections) ... -162.09 eV per cell
Crystal system ... tetragonal

a = 7.3981 Å, b = 7.3981 Å, c = 8.2113 Å
α = 90.00°, β = 90.00°, γ = 90.00°
Space group I-4 (No. 82)
Asymmetric unit:
Sr: 0.0000 0.0000 0.0000 (multiplicity 2)
Sr: 0.1309 0.7203 0.6053 (multiplicity 8)
Pt: 0.0000 0.5000 0.2500 (multiplicity 2)
O: 0.0286 0.7588 0.2729 (multiplicity 8)
O: 0.1054 0.6978 0.9036 (multiplicity 8)

Entry 12:
Below is a geometry-optimized SrPtO structure, with properties calculated at the PBE level.

## Properties
E_form (uncorrected) ... -1.502 eV/atom
Total moment ... 0.000 μB/f.u.
Total DFT energy (no corrections) ... -68.75 eV per cell
Crystal system ... monoclinic

a = 7.3482 Å, b = 4.6454 Å, c = 7.5724 Å
α = 90.00°, β = 118.87°, γ = 90.00°
Space group Cm (No. 8)
Asymmetric unit:
Sr: 0.0000 0.0000 0.0000 (multiplicity 2)
Sr: 0.1897 0.5000 0.3764 (multiplicity 2)
Pt: 0.1536 0.0000 0.6881 (multiplicity 2)
Pt: 0.4966 0.0000 0.6881 (multiplicity 2)
O: 0.1490 0.5000 0.0084 (multiplicity 2)
O: 0.3302 0.0000 0.3679 (multiplicity 2)